VASP calculation (PBE) on a relaxed Pm2Nd3Th2 crystal.

Calculated values
Volume, Å³ per cell: 238.9
Formation energy from the elements, eV per formula unit: 0.31
Final energy, eV/atom: -5.48

abc: 3.6420 12.0951 6.2945
angles: 110.33 73.17 81.36
Last column: nearest neighbours and their distance in Å.
Atoms (fractional coordinates):
Pm (0.2926, 0.2817, 0.1324)  7 Nd 3.58-3.75, 3 Th 3.60-3.70, 2 Pm 3.64
Pm (0.7074, 0.7183, 0.8676)  7 Nd 3.58-3.75, 3 Th 3.60-3.70, 2 Pm 3.64
Nd (0.0000, 0.0000, 0.0000)  6 Th 3.60-3.62, 4 Pm 3.62, 2 Nd 3.64
Nd (0.5651, 0.5788, 0.2914)  5 Pm 3.58-3.75, 2 Th 3.64, 5 Nd 3.64-3.71
Nd (0.4349, 0.4212, 0.7086)  5 Pm 3.58-3.75, 2 Th 3.64, 5 Nd 3.64-3.71
Th (0.1474, 0.1367, 0.5686)  4 Th 3.53-3.64, 5 Nd 3.60-3.64, 3 Pm 3.60-3.70
Th (0.8526, 0.8633, 0.4314)  4 Th 3.53-3.64, 5 Nd 3.60-3.64, 3 Pm 3.60-3.70